# SCAN SrLi2AlZn, PBEsol geometry
data_SrLi2AlZn
_chemical_formula_sum 'Sr1 Li2 Al1 Zn1'
_space_group_name_H-M_alt 'P 4/m m m'
_space_group_IT_number 123
_space_group_name_Hall '-P 4 2'
_cell_length_a 5.6751
_cell_length_b 5.6751
_cell_length_c 5.5773
_cell_angle_alpha 90.00
_cell_angle_beta 90.00
_cell_angle_gamma 90.00
loop_
_atom_site_label
_atom_site_type_symbol
_atom_site_fract_x
_atom_site_fract_y
_atom_site_fract_z
_atom_site_occupancy
Sr1 Sr 0.0000 0.0000 0.0000 1
Li1 Li 0.0000 0.5000 0.0000 1
Al1 Al 0.5000 0.5000 0.5000 1
Zn1 Zn 0.0000 0.0000 0.5000 1
# **Formation energy**: 1127 meV per atom
# **Total DFT energy (no corrections)**: -0.314 hartree per atom
# **Crystal system**: tetragonal
# **V**: 35.9 Å³ per atom

***

# SCAN AlCoW4, PBEsol geometry
data_AlCoW4
_chemical_formula_sum 'Al4 Co4 W16'
_space_group_name_H-M_alt 'F -4 3 m'
_space_group_IT_number 216
_space_group_name_Hall 'F -4 2 3'
_cell_length_a 7.3067
_cell_length_b 7.3067
_cell_length_c 7.3067
_cell_angle_alpha 90.00
_cell_angle_beta 90.00
_cell_angle_gamma 90.00
loop_
_atom_site_label
_atom_site_type_symbol
_atom_site_fract_x
_atom_site_fract_y
_atom_site_fract_z
_atom_site_occupancy
Al1 Al 0.0000 0.0000 0.0000 1
Co1 Co 0.2500 0.2500 0.2500 1
W1 W 0.1255 0.1255 0.6255 1
# **Formation energy**: 674 meV per atom
# **Total DFT energy (no corrections)**: -1.836 hartree per atom
# **Crystal system**: cubic
# **V**: 16.3 Å³ per atom

***

# SCAN Be2Nb2Os, PBEsol geometry
data_Be2Nb2Os
_chemical_formula_sum 'Be4 Nb4 Os2'
_space_group_name_H-M_alt 'P 4/m b m'
_space_group_IT_number 127
_space_group_name_Hall '-P 4 2ab'
_cell_length_a 6.2513
_cell_length_b 6.2513
_cell_length_c 3.2829
_cell_angle_alpha 90.00
_cell_angle_beta 90.00
_cell_angle_gamma 90.00
loop_
_atom_site_label
_atom_site_type_symbol
_atom_site_fract_x
_atom_site_fract_y
_atom_site_fract_z
_atom_site_occupancy
Be1 Be 0.1222 0.3778 0.0000 1
Nb1 Nb 0.1748 0.6748 0.5000 1
Os1 Os 0.0000 0.0000 0.0000 1
# **Formation energy**: -439 meV per atom
# **Total DFT energy (no corrections)**: -1.095 hartree per atom
# **Crystal system**: tetragonal
# **V**: 12.8 Å³ per atom

***

# SCAN La2CdCl2, PBEsol geometry
data_La2CdCl2
_chemical_formula_sum 'La4 Cd2 Cl4'
_space_group_name_H-M_alt 'I 4/m m m'
_space_group_IT_number 139
_space_group_name_Hall '-I 4 2'
_cell_length_a 4.2881
_cell_length_b 4.2881
_cell_length_c 15.0961
_cell_angle_alpha 90.00
_cell_angle_beta 90.00
_cell_angle_gamma 90.00
loop_
_atom_site_label
_atom_site_type_symbol
_atom_site_fract_x
_atom_site_fract_y
_atom_site_fract_z
_atom_site_occupancy
La1 La 0.0000 0.0000 0.1210 1
Cd1 Cd 0.0000 0.0000 0.5000 1
Cl1 Cl 0.0000 0.5000 0.2500 1
# **Total DFT energy (no corrections)**: -1.027 hartree per atom
# **Crystal system**: tetragonal
# **V**: 27.8 Å³ per atom
# **ΔE_f (raw)**: -7.2 eV/f.u.

***

# SCAN BaNi2Cl, PBEsol geometry
data_BaNi2Cl
_chemical_formula_sum 'Ba2 Ni4 Cl2'
_space_group_name_H-M_alt 'I 4/m m m'
_space_group_IT_number 139
_space_group_name_Hall '-I 4 2'
_cell_length_a 4.0119
_cell_length_b 4.0119
_cell_length_c 11.3025
_cell_angle_alpha 90.00
_cell_angle_beta 90.00
_cell_angle_gamma 90.00
loop_
_atom_site_label
_atom_site_type_symbol
_atom_site_fract_x
_atom_site_fract_y
_atom_site_fract_z
_atom_site_occupancy
Ba1 Ba 0.0000 0.0000 0.0000 1
Ni1 Ni 0.0000 0.5000 0.2500 1
Cl1 Cl 0.0000 0.0000 0.5000 1
# **Total DFT energy (no corrections)**: -0.734 hartree per atom
# **Crystal system**: tetragonal
# **V**: 22.7 Å³ per atom
# **ΔE_f (raw)**: 0.0 eV/f.u.

***

# SCAN Sr2CO, PBEsol geometry
data_Sr2CO
_chemical_formula_sum 'Sr8 C4 O4'
_space_group_name_H-M_alt 'I -4 2 d'
_space_group_IT_number 122
_space_group_name_Hall 'I -4 2bw'
_cell_length_a 6.5303
_cell_length_b 6.5303
_cell_length_c 8.1231
_cell_angle_alpha 90.00
_cell_angle_beta 90.00
_cell_angle_gamma 90.00
loop_
_atom_site_label
_atom_site_type_symbol
_atom_site_fract_x
_atom_site_fract_y
_atom_site_fract_z
_atom_site_occupancy
Sr1 Sr 0.2169 0.7500 0.1250 1
C1 C 0.0000 0.0000 0.5000 1
O1 O 0.0000 0.0000 0.0000 1
# **Total DFT energy (no corrections)**: -0.586 hartree per atom
# **Relative energy among the computed polymorphs**: 0 meV per atom
# **Crystal system**: tetragonal
# **V**: 21.7 Å³ per atom
# **ΔE_f (raw)**: -2.9 eV/f.u.

***

# SCAN BaBTeI2, PBEsol geometry
data_BaBTeI2
_chemical_formula_sum 'Ba1 B1 Te1 I2'
_space_group_name_H-M_alt 'P 4/m m m'
_space_group_IT_number 123
_space_group_name_Hall '-P 4 2'
_cell_length_a 5.3833
_cell_length_b 5.3833
_cell_length_c 5.0160
_cell_angle_alpha 90.00
_cell_angle_beta 90.00
_cell_angle_gamma 90.00
loop_
_atom_site_label
_atom_site_type_symbol
_atom_site_fract_x
_atom_site_fract_y
_atom_site_fract_z
_atom_site_occupancy
Ba1 Ba 0.0000 0.0000 0.0000 1
B1 B 0.5000 0.5000 0.5000 1
Te1 Te 0.5000 0.5000 0.0000 1
I1 I 0.0000 0.5000 0.5000 1
# **Total DFT energy (no corrections)**: -1.172 hartree per atom
# **Crystal system**: tetragonal
# **V**: 29.1 Å³ per atom
# **ΔE_f (raw)**: -1.7 eV/f.u.

***

# SCAN CoPRh, PBEsol geometry
data_CoPRh
_chemical_formula_sum 'Co4 P4 Rh4'
_space_group_name_H-M_alt 'F -4 3 m'
_space_group_IT_number 216
_space_group_name_Hall 'F -4 2 3'
_cell_length_a 5.3002
_cell_length_b 5.3002
_cell_length_c 5.3002
_cell_angle_alpha 90.00
_cell_angle_beta 90.00
_cell_angle_gamma 90.00
loop_
_atom_site_label
_atom_site_type_symbol
_atom_site_fract_x
_atom_site_fract_y
_atom_site_fract_z
_atom_site_occupancy
Co1 Co 0.0000 0.0000 0.0000 1
P1 P 0.2500 0.2500 0.2500 1
Rh1 Rh 0.0000 0.0000 0.5000 1
# **Formation energy**: -620 meV per atom
# **Total DFT energy (no corrections)**: -0.776 hartree per atom
# **Crystal system**: cubic
# **V**: 12.4 Å³ per atom

***

# SCAN FeIrNF2, PBEsol geometry
data_FeIrNF2
_chemical_formula_sum 'Fe1 Ir1 N1 F2'
_space_group_name_H-M_alt 'P 4/m m m'
_space_group_IT_number 123
_space_group_name_Hall '-P 4 2'
_cell_length_a 4.3268
_cell_length_b 4.3268
_cell_length_c 3.6628
_cell_angle_alpha 90.00
_cell_angle_beta 90.00
_cell_angle_gamma 90.00
loop_
_atom_site_label
_atom_site_type_symbol
_atom_site_fract_x
_atom_site_fract_y
_atom_site_fract_z
_atom_site_occupancy
Fe1 Fe 0.0000 0.0000 0.0000 1
Ir1 Ir 0.5000 0.5000 0.5000 1
N1 N 0.5000 0.5000 0.0000 1
F1 F 0.0000 0.5000 0.5000 1
# **Total DFT energy (no corrections)**: -0.775 hartree per atom
# **Crystal system**: tetragonal
# **V**: 13.7 Å³ per atom
# **ΔE_f (raw)**: 0.1 eV/f.u.

***

# SCAN TaCoMo, PBEsol geometry
data_TaCoMo
_chemical_formula_sum 'Ta4 Co4 Mo4'
_space_group_name_H-M_alt 'F -4 3 m'
_space_group_IT_number 216
_space_group_name_Hall 'F -4 2 3'
_cell_length_a 5.8760
_cell_length_b 5.8760
_cell_length_c 5.8760
_cell_angle_alpha 90.00
_cell_angle_beta 90.00
_cell_angle_gamma 90.00
loop_
_atom_site_label
_atom_site_type_symbol
_atom_site_fract_x
_atom_site_fract_y
_atom_site_fract_z
_atom_site_occupancy
Ta1 Ta 0.0000 0.0000 0.0000 1
Co1 Co 0.0000 0.0000 0.5000 1
Mo1 Mo 0.2500 0.2500 0.7500 1
# **Formation energy**: 1124 meV per atom
# **Total DFT energy (no corrections)**: -1.414 hartree per atom
# **Relative energy among the computed polymorphs**: 1060 meV per atom
# **Crystal system**: cubic
# **V**: 16.9 Å³ per atom

***

# SCAN CaTa4Sb, PBEsol geometry
data_CaTa4Sb
_chemical_formula_sum 'Ca4 Ta16 Sb4'
_space_group_name_H-M_alt 'F -4 3 m'
_space_group_IT_number 216
_space_group_name_Hall 'F -4 2 3'
_cell_length_a 7.9307
_cell_length_b 7.9307
_cell_length_c 7.9307
_cell_angle_alpha 90.00
_cell_angle_beta 90.00
_cell_angle_gamma 90.00
loop_
_atom_site_label
_atom_site_type_symbol
_atom_site_fract_x
_atom_site_fract_y
_atom_site_fract_z
_atom_site_occupancy
Ca1 Ca 0.0000 0.0000 0.0000 1
Ta1 Ta 0.1281 0.1281 0.6281 1
Sb1 Sb 0.2500 0.2500 0.2500 1
# **Total DFT energy (no corrections)**: -1.902 hartree per atom
# **Crystal system**: cubic
# **V**: 20.8 Å³ per atom
# **ΔE_f (raw)**: 2.7 eV/f.u.

***

# SCAN TaAsP, PBEsol geometry
data_TaAsP
_chemical_formula_sum 'Ta4 As4 P4'
_space_group_name_H-M_alt 'F -4 3 m'
_space_group_IT_number 216
_space_group_name_Hall 'F -4 2 3'
_cell_length_a 5.9432
_cell_length_b 5.9432
_cell_length_c 5.9432
_cell_angle_alpha 90.00
_cell_angle_beta 90.00
_cell_angle_gamma 90.00
loop_
_atom_site_label
_atom_site_type_symbol
_atom_site_fract_x
_atom_site_fract_y
_atom_site_fract_z
_atom_site_occupancy
Ta1 Ta 0.0000 0.0000 0.0000 1
As1 As 0.0000 0.0000 0.5000 1
P1 P 0.2500 0.2500 0.2500 1
# **Formation energy**: 277 meV per atom
# **Total DFT energy (no corrections)**: -1.180 hartree per atom
# **Relative energy among the computed polymorphs**: 372 meV per atom
# **Crystal system**: cubic
# **V**: 17.5 Å³ per atom